[1]
Here is an optimized crystal structure of La2Pm4Ho3 from Alexandria. Energies are from PBE-GGA.

a b c (Å): 3.5677 8.7695 10.1714
angles (deg): 99.14 100.10 90.00
Sites, in units of the cell vectors:
1 La 0.6664 0.0416 0.3327
2 La 0.3336 0.9584 0.6673
3 Pm 0.5487 0.6844 0.0973
4 Pm 0.2797 0.3528 0.5594
5 Pm 0.4513 0.3156 0.9027
6 Pm 0.7203 0.6472 0.4406
7 Ho 0.1052 0.3628 0.2104
8 Ho 0.8948 0.6372 0.7896
9 Ho 0.0000 0.0000 0.0000

- Energy of formation: 0.077 eV/atom
- Calculated total energy: -0.1711 hartree per atom

[2]
Here is an optimized crystal structure of La9Pm2Ho from Alexandria. Energies are from PBE-GGA.

a b c (Å): 5.2230 5.2230 15.6789
angles (deg): 90.00 90.00 90.00
Sites, in units of the cell vectors:
1 La 0.5000 0.5000 0.0000
2 La 0.5000 0.5000 0.3328
3 La 0.5000 0.5000 0.6672
4 La 0.5000 0.0000 0.1653
5 La 0.5000 0.0000 0.5000
6 La 0.5000 0.0000 0.8347
7 La 0.0000 0.5000 0.1653
8 La 0.0000 0.5000 0.5000
9 La 0.0000 0.5000 0.8347
10 Pm 0.0000 0.0000 0.3323
11 Pm 0.0000 0.0000 0.6677
12 Ho 0.0000 0.0000 0.0000

- Energy of formation: 0.007 eV/atom
- Calculated total energy: -0.1787 hartree per atom

[3]
Here is an optimized crystal structure of LaPm4Ho from Alexandria. Energies are from PBE-GGA.

a b c (Å): 3.6624 5.1217 12.1294
angles (deg): 114.95 90.00 90.00
Sites, in units of the cell vectors:
1 La 0.0000 0.0000 0.0000
2 Pm 0.5000 0.3279 0.8283
3 Pm 0.5000 0.6721 0.1717
4 Pm 0.0000 0.3362 0.3365
5 Pm 0.0000 0.6638 0.6635
6 Ho 0.5000 0.0000 0.5000

- Energy of formation: 0.020 eV/atom
- Calculated total energy: -0.1739 hartree per atom

[4]
Here is an optimized crystal structure of La4Pm10Ho from Alexandria. Energies are from PBE-GGA.

a b c (Å): 10.6423 8.8585 8.8585
angles (deg): 68.85 53.08 53.08
Sites, in units of the cell vectors:
1 La 0.3288 0.7291 0.6133
2 La 0.9421 0.3867 0.7291
3 La 0.0579 0.6133 0.2709
4 La 0.6712 0.2709 0.3867
5 Pm 0.2500 0.5000 0.5000
6 Pm 0.5469 0.3204 0.9098
7 Pm 0.1327 0.0902 0.3204
8 Pm 0.5433 0.9098 0.6796
9 Pm 0.7771 0.6796 0.0902
10 Pm 0.4531 0.6796 0.0902
11 Pm 0.7500 0.5000 0.5000
12 Pm 0.2229 0.3204 0.9098
13 Pm 0.4567 0.0902 0.3204
14 Pm 0.8673 0.9098 0.6796
15 Ho 0.0000 0.0000 0.0000

- Energy of formation: 0.310 eV/atom
- Calculated total energy: -0.1645 hartree per atom